Here is a relaxed Tb3Mg3Tl2Ir crystal from OQMD. Energies are from PBE.

The structure belongs to space group P-62m (No. 189); the cell edges are 7.4594, 7.4594 and 4.5473 Å and the angles 90.00°, 90.00° and 120.00°. Symmetry generates all atoms from Tb at (0.0000, 0.6112, 0.0000), Mg at (0.0000, 0.2289, 0.5000), Tl at (0.3333, 0.6667, 0.5000) and Ir at (0.0000, 0.0000, 0.0000).

The calculation puts the calculated density at 8.72 g/cm3. The value obtained for the total energy is -3.986 eV per atom.